# 1
Material: Ba2ScSb
Method: DFT, PBE
State: optimized geometry

Structure (CIF):
```
data_Ba2ScSb
_chemical_formula_sum 'Ba4 Sc2 Sb2'
_space_group_name_H-M_alt 'A m m 2'
_space_group_IT_number 38
_space_group_name_Hall 'A 2 -2'
_cell_length_a 4.711
_cell_length_b 5.171
_cell_length_c 13.663
_cell_angle_alpha 90.00
_cell_angle_beta 90.00
_cell_angle_gamma 90.00
loop_
_atom_site_label
_atom_site_fract_x
_atom_site_fract_y
_atom_site_fract_z
Ba1 0.000 0.000 0.000
Ba2 0.500 0.000 0.293
Sc1 0.500 0.000 0.589
Sb1 0.000 0.000 0.713
```

Summary:
DOS at the Fermi energy: 0.97 states/eV per atom
ΔE_f (raw): -0.45 eV/atom

# 2
Material: CaPu4In15
Method: DFT, PBE
State: optimized geometry

Structure (CIF):
```
data_CaPu4In15
_chemical_formula_sum 'Ca1 Pu4 In15'
_space_group_name_H-M_alt 'P 4/m m m'
_space_group_IT_number 123
_space_group_name_Hall '-P 4 2'
_cell_length_a 4.665
_cell_length_b 4.665
_cell_length_c 23.401
_cell_angle_alpha 90.00
_cell_angle_beta 90.00
_cell_angle_gamma 90.00
loop_
_atom_site_label
_atom_site_fract_x
_atom_site_fract_y
_atom_site_fract_z
Ca1 0.000 0.000 0.000
Pu1 0.000 0.000 0.201
Pu2 0.000 0.000 0.401
In1 0.000 0.500 0.102
In2 0.000 0.500 0.301
In3 0.000 0.500 0.500
In4 0.500 0.500 0.000
In5 0.500 0.500 0.202
In6 0.500 0.500 0.401
```

Summary:
DOS at the Fermi energy: 2.66 states/eV per atom
DFT total energy: -5.257 eV per atom

# 3
Material: ReB3Pt
Method: DFT, PBE
State: optimized geometry

Structure (CIF):
```
data_ReB3Pt
_chemical_formula_sum 'Re1 B3 Pt1'
_space_group_name_H-M_alt 'P m -3 m'
_space_group_IT_number 221
_space_group_name_Hall '-P 4 2 3'
_cell_length_a 4.073
_cell_length_b 4.073
_cell_length_c 4.073
_cell_angle_alpha 90.00
_cell_angle_beta 90.00
_cell_angle_gamma 90.00
loop_
_atom_site_label
_atom_site_fract_x
_atom_site_fract_y
_atom_site_fract_z
Re1 0.000 0.000 0.000
B1 0.000 0.500 0.500
Pt1 0.500 0.500 0.500
```

Summary:
DOS at the Fermi energy: 0.70 states/eV per atom
energy relative to the lowest polymorph listed for this composition: 485 meV/atom

# 4
Material: KBaScH2
Method: DFT, PBE
State: optimized geometry

Structure (CIF):
```
data_KBaScH2
_chemical_formula_sum 'K1 Ba1 Sc1 H2'
_space_group_name_H-M_alt 'P 4/m m m'
_space_group_IT_number 123
_space_group_name_Hall '-P 4 2'
_cell_length_a 4.530
_cell_length_b 4.530
_cell_length_c 6.392
_cell_angle_alpha 90.00
_cell_angle_beta 90.00
_cell_angle_gamma 90.00
loop_
_atom_site_label
_atom_site_fract_x
_atom_site_fract_y
_atom_site_fract_z
K1 0.000 0.000 0.000
Ba1 0.500 0.500 0.000
Sc1 0.500 0.500 0.500
H1 0.000 0.500 0.500
```

Summary:
DOS at the Fermi energy: 0.82 states/eV per atom
DFT total energy: -2.592 eV per atom